[1]
# Ni2Pt2Cl PBE optimized geometry
data_Ni2Pt2Cl
_symmetry_space_group_name_H-M 'P 4/m b m'
_symmetry_Int_Tables_number 127
_symmetry_space_group_name_Hall '-P 4 2ab'
_cell_length_a 7.4788
_cell_length_b 7.4788
_cell_length_c 2.7468
_cell_angle_alpha 90.00
_cell_angle_beta 90.00
_cell_angle_gamma 90.00
loop_
_atom_site_label
_atom_site_type_symbol
_atom_site_fract_x
_atom_site_fract_y
_atom_site_fract_z
Ni1 Ni 0.1672 0.3328 0.0000
Pt1 Pt 0.1287 0.6287 0.5000
Cl1 Cl 0.0000 0.0000 0.0000
# Distance to the lowest polymorph of the same formula, meV per atom: 0.0

---

[2]
# MgZrTe2 PBE optimized geometry
data_MgZrTe2
_symmetry_space_group_name_H-M 'F -4 3 m'
_symmetry_Int_Tables_number 216
_symmetry_space_group_name_Hall 'F -4 2 3'
_cell_length_a 7.3932
_cell_length_b 7.3932
_cell_length_c 7.3932
_cell_angle_alpha 90.00
_cell_angle_beta 90.00
_cell_angle_gamma 90.00
loop_
_atom_site_label
_atom_site_type_symbol
_atom_site_fract_x
_atom_site_fract_y
_atom_site_fract_z
Mg1 Mg 0.0000 0.0000 0.0000
Zr1 Zr 0.2500 0.2500 0.2500
Te1 Te 0.0000 0.0000 0.5000
Te2 Te 0.2500 0.2500 0.7500
# Calculated total energy, eV/atom: -3.989

---

| no. | density of states at the Fermi level (states/eV per atom) |
| --- | --- |
| 1 | 1.662 |
| 2 | 1.009 |